DFT (PBE-GGA) results for LiIn2B after structural relaxation.

```
LiIn2B
1.0
8.2169 0.0000 0.0000
0.0000 8.2169 0.0000
4.1085 4.1085 2.3481
B Li In
2 2 4
Cartesian
0.0000 0.0000 0.0000
8.2169 4.1085 1.1740
4.1085 4.1085 0.0000
4.1085 8.2169 1.1740
7.1752 2.0542 0.5870
1.0417 6.1627 0.5870
6.1627 5.1502 1.7610
10.2712 11.2837 1.7610
```

For the formation energy, the calculation gives 356 meV/atom.